Below is a geometry-optimized Y5AlZn4 structure, with properties calculated at the PBE level.

Calculated values
* VASP energy: -4.49 eV per atom
* SG: P4/mmm
* magnetic moment: 0.00 μB/cell
* ΔE_f: -376.4 meV/atom

Cell: 3.580 3.580 18.019 Å, 90.00 90.00 90.00°
Fractional positions:
Y (0.500, 0.500, 0.103)
Y (0.500, 0.500, 0.301)
Y (0.500, 0.500, 0.500)
Y (0.500, 0.500, 0.699)
Y (0.500, 0.500, 0.897)
Al (0.000, 0.000, 0.000)
Zn (0.000, 0.000, 0.203)
Zn (0.000, 0.000, 0.400)
Zn (0.000, 0.000, 0.600)
Zn (0.000, 0.000, 0.797)